Record 1
Computed, not measured: an optimized crystal structure of Pm2Mg3Ga at the PBE-GGA level of DFT.

Energy of formation from the pure elements   -212 meV/atom
Symmetry   No. 25

a b c (Å): 3.5244 5.0138 8.7268
angles (deg): 90.00 90.00 90.00
Fractional positions:
Pm: 0.0000 0.5000 0.0190
Pm: 0.0000 0.0000 0.4834
Mg: 0.5000 0.0000 0.8311
Mg: 0.5000 0.0000 0.1683
Mg: 0.5000 0.5000 0.6619
Ga: 0.5000 0.5000 0.3363

***

Record 2
Computed, not measured: an optimized crystal structure of PmMg8Ga6 at the PBE-GGA level of DFT.

Energy of formation from the pure elements   -104 meV/atom
Symmetry   No. 148

a b c (Å): 8.3420 8.3420 7.4316
angles (deg): 55.86 55.86 60.00
Fractional positions:
Pm: 0.0000 0.0000 0.0000
Mg: 0.5392 0.2227 0.3473
Mg: 0.7773 0.1092 0.6527
Mg: 0.1092 0.4608 0.6527
Mg: 0.6620 0.6620 0.0139
Mg: 0.3380 0.3380 0.9861
Mg: 0.8908 0.5392 0.3473
Mg: 0.2227 0.8908 0.3473
Mg: 0.4608 0.7773 0.6527
Ga: 0.3989 0.0521 0.8381
Ga: 0.9479 0.2892 0.1619
Ga: 0.2892 0.6011 0.1619
Ga: 0.7108 0.3989 0.8381
Ga: 0.0521 0.7108 0.8381
Ga: 0.6011 0.9479 0.1619

***

Record 3
Computed, not measured: an optimized crystal structure of Pm3MgGa3 at the PBE-GGA level of DFT.

Energy of formation from the pure elements   -439 meV/atom
Symmetry   No. 12

a b c (Å): 6.9359 6.9359 8.1162
angles (deg): 95.71 95.71 111.27
Fractional positions:
Pm: 0.6427 0.6427 0.3628
Pm: 0.1898 0.8102 0.5000
Pm: 0.8102 0.1898 0.5000
Pm: 0.2359 0.7641 0.0000
Pm: 0.7641 0.2359 0.0000
Pm: 0.3573 0.3573 0.6372
Mg: 0.7114 0.7114 0.9816
Mg: 0.2886 0.2886 0.0184
Ga: 0.0171 0.0171 0.2274
Ga: 0.8573 0.5688 0.7164
Ga: 0.5688 0.8573 0.7164
Ga: 0.1427 0.4312 0.2836
Ga: 0.4312 0.1427 0.2836
Ga: 0.9829 0.9829 0.7726

***

Record 4
Computed, not measured: an optimized crystal structure of PmMgGa2 at the PBE-GGA level of DFT.

Energy of formation from the pure elements   -375 meV/atom
Symmetry   No. 194

a b c (Å): 4.8716 4.8716 8.7563
angles (deg): 90.00 90.00 120.00
Fractional positions:
Pm: 0.3333 0.6667 0.2500
Pm: 0.6667 0.3333 0.7500
Mg: 0.0000 0.0000 0.5000
Mg: 0.0000 0.0000 0.0000
Ga: 0.6667 0.3333 0.4026
Ga: 0.3333 0.6667 0.9026
Ga: 0.3333 0.6667 0.5974
Ga: 0.6667 0.3333 0.0974

***

Record 5
Computed, not measured: an optimized crystal structure of PmMg3Ga2 at the PBE-GGA level of DFT.

Energy of formation from the pure elements   -326 meV/atom
Symmetry   No. 12
Energy relative to the lowest polymorph listed for this composition   0 meV per atom

a b c (Å): 4.4763 8.5223 8.2367
angles (deg): 116.87 90.00 105.23
Fractional positions:
Pm: 0.8591 0.7181 0.9311
Pm: 0.1409 0.2819 0.0689
Mg: 0.3133 0.6266 0.5402
Mg: 0.9556 0.9111 0.6259
Mg: 0.6108 0.2215 0.7237
Mg: 0.3892 0.7785 0.2763
Mg: 0.0444 0.0889 0.3741
Mg: 0.6867 0.3734 0.4598
Ga: 0.4836 0.9672 0.8394
Ga: 0.5164 0.0328 0.1606
Ga: 0.7901 0.5802 0.2667
Ga: 0.2099 0.4198 0.7333

***

Record 6
Computed, not measured: an optimized crystal structure of PmMg4Ga at the PBE-GGA level of DFT.

Energy of formation from the pure elements   -165 meV/atom
Symmetry   No. 51

a b c (Å): 4.4807 7.7503 8.2155
angles (deg): 90.00 90.00 90.00
Fractional positions:
Pm: 0.0000 0.6197 0.7500
Pm: 0.0000 0.3803 0.2500
Mg: 0.0000 0.0000 0.5000
Mg: 0.0000 0.0000 0.0000
Mg: 0.5000 0.9501 0.7500
Mg: 0.5000 0.0499 0.2500
Mg: 0.5000 0.6874 0.0571
Mg: 0.5000 0.3126 0.9429
Mg: 0.5000 0.6874 0.4429
Mg: 0.5000 0.3126 0.5571
Ga: 0.0000 0.2317 0.7500
Ga: 0.0000 0.7683 0.2500

***

Record 7
Computed, not measured: an optimized crystal structure of Pm2MgGa at the PBE-GGA level of DFT.

Energy of formation from the pure elements   -340 meV/atom
Symmetry   No. 225
Energy relative to the lowest polymorph listed for this composition   0 meV per atom

a b c (Å): 5.2964 5.2964 5.2964
angles (deg): 60.00 60.00 60.00
Fractional positions:
Mg: 0.0000 0.0000 0.0000
Ga: 0.5000 0.5000 0.5000
Pm: 0.7500 0.7500 0.7500
Pm: 0.2500 0.2500 0.2500

***

Record 8
Computed, not measured: an optimized crystal structure of Pm4MgGa5 at the PBE-GGA level of DFT.

Energy of formation from the pure elements   -478 meV/atom
Symmetry   No. 123

a b c (Å): 3.5325 3.5325 18.8511
angles (deg): 90.00 90.00 90.00
Fractional positions:
Pm: 0.0000 0.0000 0.1844
Pm: 0.0000 0.0000 0.3952
Pm: 0.0000 0.0000 0.6048
Pm: 0.0000 0.0000 0.8156
Mg: 0.0000 0.0000 0.0000
Ga: 0.5000 0.5000 0.0792
Ga: 0.5000 0.5000 0.2904
Ga: 0.5000 0.5000 0.5000
Ga: 0.5000 0.5000 0.7096
Ga: 0.5000 0.5000 0.9208

***

Record 9
Computed, not measured: an optimized crystal structure of PmMgGa2 at the PBE-GGA level of DFT.

Energy of formation from the pure elements   -372 meV/atom
Symmetry   No. 123

a b c (Å): 3.5063 3.5063 7.0524
angles (deg): 90.00 90.00 90.00
Fractional positions:
Mg: 0.5000 0.5000 0.0000
Ga: 0.0000 0.0000 0.7868
Ga: 0.0000 0.0000 0.2132
Pm: 0.5000 0.5000 0.5000

***

Record 10
Computed, not measured: an optimized crystal structure of Pm3MgGa8 at the PBE-GGA level of DFT.

Energy of formation from the pure elements   -447 meV/atom
Symmetry   No. 160

a b c (Å): 5.5704 5.5704 9.6864
angles (deg): 73.29 73.29 60.00
Fractional positions:
Pm: 0.3739 0.3739 0.8782
Pm: 0.9949 0.9949 0.0154
Pm: 0.5036 0.5036 0.4893
Mg: 0.8736 0.8736 0.3793
Ga: 0.9406 0.4368 0.1859
Ga: 0.4374 0.9385 0.6857
Ga: 0.4368 0.4368 0.1859
Ga: 0.9385 0.9385 0.6857
Ga: 0.1882 0.1882 0.4355
Ga: 0.6875 0.6875 0.9375
Ga: 0.4368 0.9406 0.1859
Ga: 0.9385 0.4374 0.6857

***

Record 11
Computed, not measured: an optimized crystal structure of Pm3Mg2Ga9 at the PBE-GGA level of DFT.

Energy of formation from the pure elements   -494 meV/atom
Symmetry   No. 71

a b c (Å): 4.2644 8.5955 8.5955
angles (deg): 72.32 75.64 75.64
Fractional positions:
Pm: 0.0000 0.0000 0.0000
Pm: 0.6876 0.3124 0.3124
Pm: 0.3124 0.6876 0.6876
Mg: 0.5000 0.2901 0.7099
Mg: 0.5000 0.7099 0.2901
Ga: 0.0000 0.5000 0.5000
Ga: 0.6644 0.9629 0.7084
Ga: 0.3356 0.0371 0.2916
Ga: 0.6644 0.7084 0.9629
Ga: 0.3356 0.2916 0.0371
Ga: 0.8554 0.8699 0.4194
Ga: 0.1446 0.1301 0.5806
Ga: 0.8554 0.4194 0.8699
Ga: 0.1446 0.5806 0.1301

***

Record 12
Computed, not measured: an optimized crystal structure of PmMgGa at the PBE-GGA level of DFT.

Energy of formation from the pure elements   -412 meV/atom
Symmetry   No. 12
Energy relative to the lowest polymorph listed for this composition   87 meV per atom

a b c (Å): 4.5618 5.9813 6.3243
angles (deg): 74.43 68.86 67.58
Fractional positions:
Pm: 0.4427 0.3031 0.8116
Pm: 0.5573 0.6969 0.1884
Mg: 0.8203 0.7645 0.5949
Mg: 0.1797 0.2355 0.4051
Ga: 0.8500 0.1370 0.1631
Ga: 0.1500 0.8630 0.8369

***

Record 13
Computed, not measured: an optimized crystal structure of Pm8MgGa6 at the PBE-GGA level of DFT.

Energy of formation from the pure elements   -342 meV/atom
Symmetry   No. 148

a b c (Å): 8.8124 8.8124 8.0510
angles (deg): 56.82 56.82 60.00
Fractional positions:
Pm: 0.5778 0.2073 0.3282
Pm: 0.7927 0.1133 0.6718
Pm: 0.1133 0.4222 0.6718
Pm: 0.6659 0.6659 0.0024
Pm: 0.3341 0.3341 0.9976
Pm: 0.8867 0.5778 0.3282
Pm: 0.2073 0.8867 0.3282
Pm: 0.4222 0.7927 0.6718
Mg: 0.0000 0.0000 0.0000
Ga: 0.3850 0.0533 0.8328
Ga: 0.9467 0.2711 0.1672
Ga: 0.2711 0.6150 0.1672
Ga: 0.7289 0.3850 0.8328
Ga: 0.0533 0.7289 0.8328
Ga: 0.6150 0.9467 0.1672

***

Record 14
Computed, not measured: an optimized crystal structure of Pm3Mg5Ga2 at the PBE-GGA level of DFT.

Energy of formation from the pure elements   -165 meV/atom
Symmetry   No. 72

a b c (Å): 6.2583 9.6013 9.6013
angles (deg): 83.66 70.98 70.98
Fractional positions:
Pm: 0.2500 0.0000 0.0000
Pm: 0.7500 0.0000 0.0000
Pm: 0.3616 0.3785 0.8983
Pm: 0.6384 0.6215 0.1017
Pm: 0.8616 0.8983 0.3785
Pm: 0.1384 0.1017 0.6215
Mg: 0.2500 0.5000 0.5000
Mg: 0.7500 0.5000 0.5000
Mg: 0.5067 0.7433 0.7433
Mg: 0.9933 0.2567 0.2567
Mg: 0.4933 0.2567 0.2567
Mg: 0.0067 0.7433 0.7433
Mg: 0.1083 0.5485 0.2349
Mg: 0.8917 0.4515 0.7651
Mg: 0.6083 0.2349 0.5485
Mg: 0.3917 0.7651 0.4515
Ga: 0.1436 0.7125 0.0004
Ga: 0.8564 0.2875 0.9996
Ga: 0.6436 0.0004 0.7125
Ga: 0.3564 0.9996 0.2875

***

Record 15
Computed, not measured: an optimized crystal structure of Pm4Mg3Ga at the PBE-GGA level of DFT.

Energy of formation from the pure elements   -218 meV/atom
Symmetry   No. 123

a b c (Å): 3.7814 3.7814 15.5236
angles (deg): 90.00 90.00 90.00
Fractional positions:
Mg: 0.5000 0.5000 0.2447
Mg: 0.5000 0.5000 0.5000
Mg: 0.5000 0.5000 0.7553
Ga: 0.5000 0.5000 0.0000
Pm: 0.0000 0.0000 0.8882
Pm: 0.0000 0.0000 0.1118
Pm: 0.0000 0.0000 0.3707
Pm: 0.0000 0.0000 0.6293

***

Record 16
Computed, not measured: an optimized crystal structure of PmMg2Ga4 at the PBE-GGA level of DFT.

Energy of formation from the pure elements   -373 meV/atom
Symmetry   No. 71

a b c (Å): 4.1721 4.2196 8.9961
angles (deg): 103.56 103.41 90.00
Fractional positions:
Pm: 0.5000 0.0000 0.0000
Mg: 0.8148 0.8148 0.6296
Mg: 0.1852 0.1852 0.3704
Ga: 0.6542 0.6542 0.3084
Ga: 0.3458 0.3458 0.6916
Ga: 0.0725 0.5725 0.1450
Ga: 0.9275 0.4275 0.8550

***

Record 17
Computed, not measured: an optimized crystal structure of PmMg2Ga at the PBE-GGA level of DFT.

Energy of formation from the pure elements   -293 meV/atom
Symmetry   No. 123
Energy relative to the lowest polymorph listed for this composition   19 meV per atom

a b c (Å): 4.8516 4.4222 4.4222
angles (deg): 90.00 90.00 90.00
Fractional positions:
Mg: 0.0000 0.0000 0.5000
Mg: 0.0000 0.5000 0.0000
Ga: 0.5000 0.5000 0.5000
Pm: 0.5000 0.0000 0.0000

***

Record 18
Computed, not measured: an optimized crystal structure of Pm3Mg7Ga4 at the PBE-GGA level of DFT.

Energy of formation from the pure elements   -351 meV/atom
Symmetry   No. 12

a b c (Å): 4.5080 8.7393 9.0219
angles (deg): 72.53 75.53 75.05
Fractional positions:
Pm: 0.3019 0.1837 0.2126
Pm: 0.6981 0.8163 0.7874
Pm: 0.0000 0.5000 0.5000
Mg: 0.3254 0.8350 0.5143
Mg: 0.4888 0.2187 0.8038
Mg: 0.8350 0.4007 0.9293
Mg: 0.6746 0.1650 0.4857
Mg: 0.1650 0.5993 0.0707
Mg: 0.0000 0.0000 0.0000
Mg: 0.5112 0.7813 0.1962
Ga: 0.6528 0.4458 0.2487
Ga: 0.3472 0.5542 0.7513
Ga: 0.8803 0.9045 0.3350
Ga: 0.1197 0.0955 0.6650

***

Record 19
Computed, not measured: an optimized crystal structure of Pm2Mg3Ga2 at the PBE-GGA level of DFT.

Energy of formation from the pure elements   -349 meV/atom
Symmetry   No. 12
Energy relative to the lowest polymorph listed for this composition   0 meV per atom

a b c (Å): 4.4651 5.9243 7.0783
angles (deg): 94.93 90.00 112.14
Fractional positions:
Pm: 0.6275 0.2550 0.3442
Pm: 0.3725 0.7450 0.6558
Mg: 0.3239 0.6477 0.1460
Mg: 0.0000 0.0000 0.0000
Mg: 0.6761 0.3523 0.8540
Ga: 0.0883 0.1766 0.6310
Ga: 0.9117 0.8234 0.3690

***

Record 20
Computed, not measured: an optimized crystal structure of PmMg2Ga at the PBE-GGA level of DFT.

Energy of formation from the pure elements   -114 meV/atom
Symmetry   No. 225
Energy relative to the lowest polymorph listed for this composition   198 meV per atom

a b c (Å): 5.0449 5.0449 5.0449
angles (deg): 60.00 60.00 60.00
Fractional positions:
Mg: 0.2500 0.2500 0.2500
Mg: 0.7500 0.7500 0.7500
Ga: 0.5000 0.5000 0.5000
Pm: 0.0000 0.0000 0.0000

***

These records have raw total energy values of -3.098, -2.482, -4.000, -3.474, -2.924, -2.525, -3.871, -4.051, -3.471, -3.786, -3.686, -3.536, -4.193, -2.993, -3.570, -3.237, -3.035, -3.031, -3.254, -2.856 eV/atom, in the order they appear.